First-principles (PBE-GGA) data for crystalline Pa3Tl2ReO12 at its relaxed geometry, as listed in Alexandria.

Summary:
- space group = R-3m
- magnetic moment (μB/atom) = 0.000
- E_form (uncorrected) (eV/atom) = -2.57
- DOS(E_F) (states/eV/f.u.) = 0.00

Lattice parameters (Å, degrees): 7.861 7.861 7.861 61.23 61.23 61.23
Fractional positions:
O (0.280, 0.945, 0.945)
O (0.720, 0.055, 0.055)
O (0.678, 0.071, 0.678)
O (0.945, 0.945, 0.280)
O (0.055, 0.055, 0.720)
O (0.678, 0.678, 0.071)
O (0.929, 0.322, 0.322)
O (0.055, 0.720, 0.055)
O (0.322, 0.322, 0.929)
O (0.945, 0.280, 0.945)
O (0.071, 0.678, 0.678)
O (0.322, 0.929, 0.322)
Pa (0.500, 0.000, 0.000)
Pa (0.000, 0.500, 0.000)
Pa (0.000, 0.000, 0.500)
Tl (0.596, 0.596, 0.596)
Tl (0.404, 0.404, 0.404)
Re (0.000, 0.000, 0.000)


First-principles (PBE-GGA) data for crystalline PaZn2ReO8 at its relaxed geometry, as listed in Alexandria.

Summary:
- space group = Cmmm
- magnetic moment (μB/atom) = 0.000
- E_form (uncorrected) (eV/atom) = -2.03

Lattice parameters (Å, degrees): 4.775 4.771 6.556 90.00 90.00 92.05
Fractional positions:
O (0.694, 0.695, 0.500)
O (0.187, 0.811, 0.215)
O (0.187, 0.811, 0.785)
O (0.813, 0.189, 0.215)
O (0.715, 0.717, 0.000)
O (0.306, 0.305, 0.500)
O (0.813, 0.189, 0.785)
O (0.285, 0.283, 0.000)
Pa (0.000, 0.000, 0.500)
Re (0.000, 0.000, 0.000)
Zn (0.500, 0.500, 0.240)
Zn (0.500, 0.500, 0.760)


First-principles (PBE-GGA) data for crystalline Pa2RhO at its relaxed geometry, as listed in Alexandria.

Summary:
- space group = R-3m
- magnetic moment (μB/atom) = 0.000
- E_form (uncorrected) (eV/atom) = -1.42
- DOS(E_F) (states/eV/f.u.) = 3.78

Lattice parameters (Å, degrees): 3.530 3.530 7.133 75.67 75.67 60.00
Fractional positions:
O (0.000, 0.000, 0.000)
Pa (0.263, 0.263, 0.211)
Pa (0.737, 0.737, 0.789)
Rh (0.500, 0.500, 0.500)


First-principles (PBE-GGA) data for crystalline Pa3Rh5O12 at its relaxed geometry, as listed in Alexandria.

Summary:
- space group = Ia-3d
- magnetic moment (μB/atom) = 0.307
- E_form (uncorrected) (eV/atom) = -1.72
- DOS(E_F) (states/eV/f.u.) = 10.29

Lattice parameters (Å, degrees): 11.040 11.040 11.040 109.47 109.47 109.47
Fractional positions:
O (0.664, 0.447, 0.578)
O (0.664, 0.217, 0.585)
O (0.217, 0.664, 0.085)
O (0.922, 0.836, 0.553)
O (0.585, 0.717, 0.664)
O (0.131, 0.415, 0.078)
O (0.085, 0.922, 0.369)
O (0.915, 0.836, 0.783)
O (0.836, 0.922, 0.053)
O (0.869, 0.283, 0.447)
O (0.447, 0.664, 0.078)
O (0.283, 0.869, 0.947)
O (0.783, 0.447, 0.369)
O (0.078, 0.915, 0.131)
O (0.053, 0.631, 0.717)
O (0.447, 0.783, 0.869)
O (0.631, 0.053, 0.217)
O (0.836, 0.915, 0.283)
O (0.578, 0.947, 0.664)
O (0.078, 0.164, 0.447)
O (0.915, 0.078, 0.631)
O (0.164, 0.078, 0.947)
O (0.085, 0.164, 0.217)
O (0.717, 0.131, 0.053)
O (0.585, 0.869, 0.422)
O (0.869, 0.585, 0.922)
O (0.131, 0.717, 0.553)
O (0.783, 0.336, 0.915)
O (0.631, 0.578, 0.915)
O (0.336, 0.783, 0.415)
O (0.415, 0.283, 0.336)
O (0.717, 0.585, 0.164)
O (0.369, 0.422, 0.085)
O (0.947, 0.578, 0.164)
O (0.578, 0.631, 0.415)
O (0.415, 0.131, 0.578)
O (0.422, 0.053, 0.336)
O (0.947, 0.369, 0.283)
O (0.336, 0.553, 0.422)
O (0.217, 0.553, 0.631)
O (0.053, 0.422, 0.836)
O (0.283, 0.415, 0.836)
O (0.164, 0.085, 0.717)
O (0.369, 0.947, 0.783)
O (0.553, 0.336, 0.922)
O (0.422, 0.369, 0.585)
O (0.553, 0.217, 0.131)
O (0.922, 0.085, 0.869)
Rh (0.375, 0.250, 0.125)
Rh (0.250, 0.875, 0.125)
Rh (0.500, 0.000, 0.500)
Rh (0.750, 0.125, 0.875)
Rh (0.250, 0.375, 0.625)
Rh (0.625, 0.875, 0.250)
Rh (0.125, 0.750, 0.375)
Rh (0.500, 0.000, 0.000)
Rh (0.000, 0.500, 0.500)
Rh (0.000, 0.000, 0.000)
Rh (0.000, 0.500, 0.000)
Rh (0.125, 0.375, 0.250)
Rh (0.750, 0.625, 0.375)
Rh (0.500, 0.500, 0.000)
Rh (0.375, 0.125, 0.750)
Rh (0.000, 0.000, 0.500)
Rh (0.875, 0.250, 0.625)
Rh (0.875, 0.625, 0.750)
Rh (0.625, 0.750, 0.875)
Rh (0.500, 0.500, 0.500)
Pa (0.250, 0.125, 0.375)
Pa (0.375, 0.750, 0.625)
Pa (0.625, 0.375, 0.750)
Pa (0.750, 0.875, 0.625)
Pa (0.250, 0.625, 0.875)
Pa (0.125, 0.250, 0.875)
Pa (0.125, 0.875, 0.750)
Pa (0.625, 0.250, 0.375)
Pa (0.875, 0.125, 0.250)
Pa (0.375, 0.625, 0.250)
Pa (0.875, 0.750, 0.125)
Pa (0.750, 0.375, 0.125)


First-principles (PBE-GGA) data for crystalline PaRhO2 at its relaxed geometry, as listed in Alexandria.

Summary:
- space group = R-3m
- magnetic moment (μB/atom) = 0.000
- E_form (uncorrected) (eV/atom) = -2.11
- DOS(E_F) (states/eV/f.u.) = 0.59

Lattice parameters (Å, degrees): 3.805 3.805 5.627 70.24 70.24 60.00
Fractional positions:
O (0.128, 0.128, 0.615)
O (0.872, 0.872, 0.385)
Pa (0.500, 0.500, 0.500)
Rh (0.000, 0.000, 0.000)


First-principles (PBE-GGA) data for crystalline Pa2RhO6 at its relaxed geometry, as listed in Alexandria.

Summary:
- space group = P2_1/c
- magnetic moment (μB/atom) = 0.112
- E_form (uncorrected) (eV/atom) = -2.82
- DOS(E_F) (states/eV/f.u.) = 2.25

Lattice parameters (Å, degrees): 6.128 6.096 10.929 90.00 124.05 90.00
Fractional positions:
O (0.229, 0.000, 0.730)
O (0.271, 0.500, 0.770)
O (0.729, 0.500, 0.230)
O (0.740, 0.502, 0.738)
O (0.272, 0.268, 0.000)
O (0.228, 0.768, 0.500)
O (0.728, 0.732, 0.000)
O (0.240, 0.998, 0.238)
O (0.771, 0.000, 0.270)
O (0.760, 0.002, 0.762)
O (0.772, 0.232, 0.500)
O (0.260, 0.498, 0.262)
Pa (0.489, 0.249, 0.250)
Pa (0.011, 0.749, 0.250)
Pa (0.989, 0.251, 0.750)
Pa (0.511, 0.751, 0.750)
Rh (0.500, 0.500, 0.000)
Rh (0.000, 0.000, 0.500)


First-principles (PBE-GGA) data for crystalline Pa2Rh2O7 at its relaxed geometry, as listed in Alexandria.

Summary:
- space group = Fd-3m
- magnetic moment (μB/atom) = 0.190
- E_form (uncorrected) (eV/atom) = -2.17
- DOS(E_F) (states/eV/f.u.) = 5.78

Lattice parameters (Å, degrees): 7.397 7.397 7.397 60.00 60.00 60.00
Fractional positions:
O (0.009, 0.491, 0.491)
O (0.491, 0.491, 0.009)
O (0.759, 0.241, 0.759)
O (0.009, 0.009, 0.491)
O (0.241, 0.759, 0.759)
O (0.750, 0.750, 0.750)
O (0.241, 0.759, 0.241)
O (0.491, 0.009, 0.491)
O (0.241, 0.241, 0.759)
O (0.500, 0.500, 0.500)
O (0.759, 0.759, 0.241)
O (0.759, 0.241, 0.241)
O (0.491, 0.009, 0.009)
O (0.009, 0.491, 0.009)
Rh (0.125, 0.125, 0.125)
Rh (0.625, 0.125, 0.125)
Rh (0.125, 0.125, 0.625)
Rh (0.125, 0.625, 0.125)
Pa (0.125, 0.625, 0.625)
Pa (0.625, 0.125, 0.625)
Pa (0.625, 0.625, 0.125)
Pa (0.625, 0.625, 0.625)


First-principles (PBE-GGA) data for crystalline Pa2Rh2O5 at its relaxed geometry, as listed in Alexandria.

Summary:
- space group = P4/mmm
- magnetic moment (μB/atom) = 0.268
- E_form (uncorrected) (eV/atom) = -1.68
- DOS(E_F) (states/eV/f.u.) = 6.41

Lattice parameters (Å, degrees): 4.032 4.032 6.883 90.00 90.00 90.00
Fractional positions:
Rh (0.500, 0.500, 0.809)
Rh (0.500, 0.500, 0.191)
Pa (0.000, 0.000, 0.500)
Pa (0.000, 0.000, 0.000)
O (0.500, 0.000, 0.238)
O (0.000, 0.500, 0.762)
O (0.500, 0.500, 0.500)
O (0.000, 0.500, 0.238)
O (0.500, 0.000, 0.762)


First-principles (PBE-GGA) data for crystalline Pa4Rh6O19 at its relaxed geometry, as listed in Alexandria.

Summary:
- space group = I23
- magnetic moment (μB/atom) = 0.000
- E_form (uncorrected) (eV/atom) = -1.93

Lattice parameters (Å, degrees): 7.790 7.790 7.790 109.47 109.47 109.47
Fractional positions:
Rh (0.653, 0.500, 0.153)
Rh (0.500, 0.153, 0.653)
Rh (0.347, 0.500, 0.847)
Rh (0.500, 0.847, 0.347)
Rh (0.153, 0.653, 0.500)
Rh (0.847, 0.347, 0.500)
O (0.000, 0.000, 0.000)
O (0.381, 0.337, 0.615)
O (0.956, 0.619, 0.234)
O (0.298, 0.000, 0.298)
O (0.234, 0.956, 0.619)
O (0.619, 0.234, 0.956)
O (0.298, 0.298, 0.000)
O (0.000, 0.702, 0.702)
O (0.337, 0.615, 0.381)
O (0.722, 0.766, 0.385)
O (0.000, 0.298, 0.298)
O (0.663, 0.044, 0.278)
O (0.044, 0.278, 0.663)
O (0.278, 0.663, 0.044)
O (0.766, 0.385, 0.722)
O (0.702, 0.702, 0.000)
O (0.385, 0.722, 0.766)
O (0.615, 0.381, 0.337)
O (0.702, 0.000, 0.702)
Pa (0.303, 0.303, 0.303)
Pa (0.000, 0.000, 0.697)
Pa (0.697, 0.000, 0.000)
Pa (0.000, 0.697, 0.000)


First-principles (PBE-GGA) data for crystalline PaRh2O6 at its relaxed geometry, as listed in Alexandria.

Summary:
- space group = P321
- magnetic moment (μB/atom) = 0.101
- E_form (uncorrected) (eV/atom) = -1.70
- DOS(E_F) (states/eV/f.u.) = 7.36

Lattice parameters (Å, degrees): 4.560 9.134 9.134 120.00 90.00 90.00
Fractional positions:
O (0.247, 0.446, 0.549)
O (0.253, 0.770, 0.883)
O (0.747, 0.883, 0.770)
O (0.753, 0.897, 0.451)
O (0.747, 0.230, 0.113)
O (0.247, 0.103, 0.554)
O (0.753, 0.554, 0.103)
O (0.747, 0.887, 0.117)
O (0.754, 0.563, 0.779)
O (0.754, 0.216, 0.437)
O (0.253, 0.117, 0.887)
O (0.246, 0.784, 0.221)
O (0.253, 0.113, 0.230)
O (0.754, 0.221, 0.784)
O (0.753, 0.549, 0.446)
O (0.247, 0.451, 0.897)
O (0.246, 0.779, 0.563)
O (0.246, 0.437, 0.216)
Pa (0.499, 0.667, 0.333)
Pa (0.000, 0.000, 0.000)
Pa (0.501, 0.333, 0.667)
Rh (0.500, 0.328, 0.328)
Rh (0.500, 0.000, 0.672)
Rh (0.000, 0.000, 0.339)
Rh (0.000, 0.661, 0.661)
Rh (0.500, 0.672, 0.000)
Rh (0.000, 0.339, 0.000)


First-principles (PBE-GGA) data for crystalline PaRhO6 at its relaxed geometry, as listed in Alexandria.

Summary:
- space group = C2/c
- magnetic moment (μB/atom) = 0.000
- E_form (uncorrected) (eV/atom) = -1.55

Lattice parameters (Å, degrees): 5.941 5.941 7.338 90.05 90.05 49.89
Fractional positions:
O (0.250, 0.493, 0.699)
O (0.750, 0.507, 0.301)
O (0.507, 0.749, 0.198)
O (0.493, 0.251, 0.802)
O (0.507, 0.750, 0.801)
O (0.251, 0.493, 0.302)
O (0.845, 0.924, 0.500)
O (0.155, 0.076, 0.500)
O (0.076, 0.155, 0.000)
O (0.493, 0.250, 0.199)
O (0.749, 0.507, 0.698)
O (0.924, 0.845, 0.000)
Rh (0.500, 0.000, 0.000)
Rh (0.000, 0.500, 0.500)
Pa (0.000, 0.000, 0.250)
Pa (0.000, 0.000, 0.750)


First-principles (PBE-GGA) data for crystalline PaRuRhO6 at its relaxed geometry, as listed in Alexandria.

Summary:
- space group = P-31c
- magnetic moment (μB/atom) = 0.221
- E_form (uncorrected) (eV/atom) = -1.77
- DOS(E_F) (states/eV/f.u.) = 5.63

Lattice parameters (Å, degrees): 5.333 5.333 8.858 90.00 90.00 120.00
Fractional positions:
O (0.658, 0.680, 0.624)
O (0.658, 0.978, 0.876)
O (0.342, 0.320, 0.376)
O (0.320, 0.978, 0.624)
O (0.978, 0.320, 0.124)
O (0.022, 0.342, 0.624)
O (0.342, 0.022, 0.124)
O (0.680, 0.658, 0.124)
O (0.680, 0.022, 0.376)
O (0.022, 0.680, 0.876)
O (0.320, 0.342, 0.876)
O (0.978, 0.658, 0.376)
Rh (0.000, 0.000, 0.000)
Rh (0.000, 0.000, 0.500)
Ru (0.333, 0.667, 0.750)
Ru (0.667, 0.333, 0.250)
Pa (0.333, 0.667, 0.250)
Pa (0.667, 0.333, 0.750)